An optimized crystal structure of DyHoMnZn, computed with GGA-PBE. Values from VASP.

Results
energy of formation = -0.05 eV/atom

Geometry as Quantum ESPRESSO input:
```
&SYSTEM
  ibrav = 0, nat = 4, ntyp = 4
/
ATOMIC_SPECIES
Dy 162.50 Dy.upf
Ho 164.93 Ho.upf
Mn 54.94 Mn.upf
Zn 65.41 Zn.upf
CELL_PARAMETERS angstrom
0.0000 3.5320 3.5320
3.5320 0.0000 3.5320
3.5320 3.5320 0.0000
ATOMIC_POSITIONS crystal
Dy 0.0000 0.0000 0.0000
Ho 0.5000 0.5000 0.5000
Mn 0.7500 0.7500 0.7500
Zn 0.2500 0.2500 0.2500
```



An optimized crystal structure of Te2IrCl, computed with GGA-PBE. Values from VASP.

Results
formation energy (no corrections) = 0.27 eV per atom

Geometry as Quantum ESPRESSO input:
```
&SYSTEM
  ibrav = 0, nat = 4, ntyp = 3
/
ATOMIC_SPECIES
Te 127.60 Te.upf
Ir 192.22 Ir.upf
Cl 35.45 Cl.upf
CELL_PARAMETERS angstrom
3.8491 -3.8529 0.0000
3.8491 3.8529 0.0000
0.0000 0.0000 3.1562
ATOMIC_POSITIONS crystal
Te 0.0000 0.5000 0.0000
Te 0.5000 0.0000 0.0000
Ir 0.0000 0.0000 0.0000
Cl 0.5000 0.5000 0.0000
```